No. 1
The following is a DFT calculation (PBE) of a relaxed Sr2AgRuC crystal.

a b c (Å): 5.536 5.536 3.894
angles (deg): 90.00 90.00 90.00
Element x y z (fractional)
Ru 0.000 0.000 0.500
C 0.000 0.000 0.000
Ag 0.500 0.500 0.500
Sr 0.000 0.500 0.000
Sr 0.500 0.000 0.000

## Properties
- Total energy: -4.888 eV per atom
- SG: P4/mmm (123)

No. 2
The following is a DFT calculation (PBE) of a relaxed TcAgRuC2 crystal.

a b c (Å): 3.902 5.410 3.902
angles (deg): 90.00 90.00 90.00
Last column: magnetic moment on the atom in μB.
Element x y z (fractional)
Ru 0.000 0.000 0.000  0.08
C 0.000 0.000 0.500  0.00
C 0.500 0.000 0.000  0.01
Tc 0.000 0.500 0.000  2.83
Ag 0.500 0.500 0.500  0.10

## Properties
- Total energy: -6.301 eV per atom
- SG: P4/mmm (123)

No. 3
The following is a DFT calculation (PBE) of a relaxed Tm2AgRuC crystal.

a b c (Å): 3.885 4.910 4.910
angles (deg): 90.00 90.00 90.00
Element x y z (fractional)
Tm 0.000 0.000 0.500
Tm 0.000 0.500 0.000
Ag 0.500 0.500 0.500
Ru 0.500 0.000 0.000
C 0.000 0.000 0.000

## Properties
- Total energy: -6.470 eV per atom
- SG: P4/mmm (123)

Calculated magnetization (μB per cell), listed in the same order as above: 0.0; 3.4; 0.0